Record 1
First-principles (PBE) data for a relaxed structure of CeAg2PbS4, as listed in Alexandria.

Cell lengths 6.881, 6.280, 6.280 Å; angles 68.49, 56.78, 56.78 degrees
Each line ends with the local moment (μB).
Positions (direct):
Ce (0.500, 0.500, 0.500)  0.37
Ag (0.189, 0.311, 0.311)  -0.01
Ag (0.811, 0.689, 0.689)  -0.01
Pb (0.000, 0.000, 0.000)  0.00
S (0.448, 0.084, 0.552)  -0.01
S (0.084, 0.916, 0.448)  -0.01
S (0.916, 0.552, 0.084)  -0.01
S (0.552, 0.448, 0.916)  -0.01

As for the space group: I222. As for the uncorrected formation energy: -0.6892 eV/atom. The uncorrected energy is -4.6710 eV/atom.

Record 2
First-principles (PBE) data for a relaxed structure of Pm4SiCl5, as listed in Alexandria.

Cell lengths 4.070, 8.350, 9.280 Å; angles 104.05, 102.67, 90.00 degrees
Positions (direct):
Pm (0.656, 0.092, 0.311)
Pm (0.000, 0.233, 0.000)
Pm (0.344, 0.908, 0.689)
Pm (0.000, 0.767, 0.000)
Si (0.500, 0.000, 0.000)
Cl (0.166, 0.330, 0.332)
Cl (0.171, 0.857, 0.342)
Cl (0.829, 0.143, 0.658)
Cl (0.500, 0.500, 0.000)
Cl (0.834, 0.670, 0.668)

As for the space group: C2/m. As for the uncorrected formation energy: -1.7450 eV/atom. The uncorrected energy is -5.1108 eV/atom.

Record 3
First-principles (PBE) data for a relaxed structure of CsTi3Cl, as listed in Alexandria.

Cell lengths 4.758, 4.758, 4.758 Å; angles 90.00, 90.00, 90.00 degrees
Positions (direct):
Cs (0.500, 0.500, 0.500)
Cl (0.000, 0.000, 0.000)
Ti (0.000, 0.500, 0.000)
Ti (0.000, 0.000, 0.500)
Ti (0.500, 0.000, 0.000)

As for the space group: Pm-3m. As for the uncorrected formation energy: 0.8431 eV/atom. The uncorrected energy is -4.4339 eV/atom. As for the polymorph energy (0 for the lowest one): 0 meV/atom.

Record 4
First-principles (PBE) data for a relaxed structure of Co3Br, as listed in Alexandria.

Cell lengths 11.851, 11.851, 11.851 Å; angles 162.80, 162.80, 24.42 degrees
Each line ends with the local moment (μB).
Positions (direct):
Co (0.000, 0.500, 0.500)  -1.77
Co (0.500, 0.000, 0.500)  -1.77
Co (0.750, 0.250, 0.500)  -1.78
Co (0.250, 0.750, 0.500)  -1.78
Co (0.186, 0.186, 0.000)  -1.84
Co (0.814, 0.814, 0.000)  -1.84
Br (0.080, 0.080, 0.000)  -0.09
Br (0.920, 0.920, 0.000)  -0.09

As for the space group: I4/mmm. As for the uncorrected formation energy: 0.5812 eV/atom. The uncorrected energy is -5.1664 eV/atom. As for the polymorph energy (0 for the lowest one): 267 meV/atom.

Record 5
First-principles (PBE) data for a relaxed structure of Y5Zn4Rh, as listed in Alexandria.

Cell lengths 3.560, 3.560, 17.686 Å; angles 90.00, 90.00, 90.00 degrees
Positions (direct):
Y (0.500, 0.500, 0.092)
Y (0.500, 0.500, 0.297)
Y (0.500, 0.500, 0.500)
Y (0.500, 0.500, 0.703)
Y (0.500, 0.500, 0.908)
Zn (0.000, 0.000, 0.197)
Zn (0.000, 0.000, 0.398)
Zn (0.000, 0.000, 0.602)
Zn (0.000, 0.000, 0.803)
Rh (0.000, 0.000, 0.000)

As for the space group: P4/mmm. Its formation energy is -0.46 eV per atom. The uncorrected energy is -4.9397 eV/atom.

Record 6
First-principles (PBE) data for a relaxed structure of Sc3Ir2Rh, as listed in Alexandria.

Cell lengths 4.569, 4.569, 11.190 Å; angles 90.00, 90.00, 120.00 degrees
Positions (direct):
Sc (0.333, 0.667, 0.417)
Sc (0.667, 0.333, 0.083)
Sc (0.000, 0.000, 0.750)
Sc (0.000, 0.000, 0.250)
Sc (0.333, 0.667, 0.917)
Sc (0.667, 0.333, 0.583)
Ir (0.000, 0.000, 0.500)
Ir (0.333, 0.667, 0.167)
Ir (0.667, 0.333, 0.833)
Ir (0.000, 0.000, 0.000)
Rh (0.333, 0.667, 0.667)
Rh (0.667, 0.333, 0.333)

As for the space group: P-3m1. Its formation energy is -1.04 eV per atom. The uncorrected energy is -8.3797 eV/atom. As for the polymorph energy (0 for the lowest one): 0 meV/atom.